[1]
A plane-wave DFT calculation with PBE was carried out for an optimized crystal structure of ZnAg2O.

Structure (POSCAR):
```
ZnAg2O
1.0
0.496 0.396 4.294
-2.149 -2.646 2.687
2.148 -3.044 2.227
Zn Ag O
1 2 1
Cartesian
0.248 -2.647 4.604
0.124 -1.324 2.302
0.372 -3.971 6.905
0.000 0.000 0.000
```

Results
Space-group type: Fm-3m
Final energy (eV/atom): -2.915
Formation energy without anion corrections (eV/f.u.): 0.3

=====

[2]
A plane-wave DFT calculation with PBE was carried out for an optimized crystal structure of ZnAg5O4.

Structure (POSCAR):
```
ZnAg5O4
1.0
3.208 0.000 0.000
0.000 6.519 0.149
-1.604 -1.576 6.507
Ag O Zn
5 4 1
Cartesian
1.604 0.178 4.251
0.000 4.765 2.404
0.000 1.896 2.297
1.604 3.048 4.358
1.604 3.260 0.074
1.604 0.191 2.088
1.604 -0.116 6.377
0.000 4.752 4.567
0.000 5.060 0.278
1.604 0.000 0.000
```

Results
Space-group type: C2/m
Final energy (eV/atom): -3.760
Formation energy without anion corrections (eV/f.u.): -2.2

=====

[3]
A plane-wave DFT calculation with PBE was carried out for an optimized crystal structure of Zn2Ag2O5.

Structure (POSCAR):
```
Zn2Ag2O5
1.0
-3.507 -0.865 0.646
1.853 -4.174 4.475
-0.547 7.865 7.562
O Zn Ag
10 4 4
Cartesian
-1.497 3.465 6.935
-1.010 3.607 9.774
-1.541 0.005 2.067
-0.380 -1.369 6.531
1.057 1.843 8.211
-0.058 6.222 8.016
0.668 0.375 4.129
0.280 1.777 3.903
1.357 1.696 9.645
1.326 -2.445 3.928
-0.283 -2.840 5.086
-1.667 1.488 3.364
-0.939 2.250 8.341
-1.607 4.966 8.347
1.141 0.151 6.400
0.593 -0.674 2.317
1.081 3.535 10.610
0.116 3.650 5.520
```

Results
Space-group type: Pmc2_1
Final energy (eV/atom): -4.062
Formation energy without anion corrections (eV/f.u.): -3.5